Entry 1:
This record from Alexandria describes a geometry-optimized SrFeAsCl2 structure. The functional is GGA-PBE.

Results
As for the final energy: -3.71 eV/atom. Its crystal system is tetragonal. The calculation puts the total magnetization at 2.29 Bohr magnetons per cell. For the energy above the most stable polymorph in this dataset, the calculation gives 1.51 eV per formula unit. The value obtained for the raw formation energy is -0.017 eV per atom. The volume is 38.0 Å³/atom. The space group is No. 123.

```
SrFeAsCl2
1.0
5.435 0.000 0.000
0.000 5.435 0.000
0.000 0.000 6.425
Sr Fe As Cl
1 1 1 2
Direct
0.000 0.000 0.000
0.500 0.500 0.500
0.000 0.000 0.500
0.000 0.500 0.000
0.500 0.000 0.000
```

***

Entry 2:
This record from Alexandria describes a geometry-optimized Zn2InSi structure. The functional is GGA-PBE.

Results
As for the final energy: -2.38 eV/atom. Its crystal system is tetragonal. The calculation puts the total magnetization at 0.00 Bohr magnetons per cell. For the energy above the most stable polymorph in this dataset, the calculation gives 0.33 eV per formula unit. The value obtained for the raw formation energy is 0.293 eV per atom. The volume is 18.4 Å³/atom. The space group is No. 139.

```
Zn2InSi
1.0
4.306 0.000 0.000
0.000 4.306 0.000
0.000 0.000 7.922
Zn In Si
4 2 2
Direct
0.000 0.500 0.250
0.000 0.500 0.750
0.500 0.000 0.250
0.500 0.000 0.750
0.000 0.000 0.000
0.500 0.500 0.500
0.000 0.000 0.500
0.500 0.500 0.000
```

***

Entry 3:
This record from Alexandria describes a geometry-optimized Cs2Li2ThTe4 structure. The functional is GGA-PBE.

Results
As for the final energy: -4.04 eV/atom. Its crystal system is monoclinic. The calculation puts the total magnetization at 0.00 Bohr magnetons per cell. The value obtained for the raw formation energy is -1.205 eV per atom. The volume is 37.5 Å³/atom. The space group is No. 12.

```
Cs2Li2ThTe4
1.0
8.543 -2.351 0.000
8.543 2.351 0.000
-2.882 0.000 8.411
Cs Li Th Te
2 2 1 4
Direct
0.139 0.139 0.066
0.861 0.861 0.934
0.320 0.320 0.514
0.680 0.680 0.486
0.000 0.000 0.500
0.193 0.193 0.661
0.484 0.484 0.728
0.516 0.516 0.272
0.807 0.807 0.339
```

***

Entry 4:
This record from Alexandria describes a geometry-optimized TmSc6Te8 structure. The functional is GGA-PBE.

Results
As for the final energy: -5.70 eV/atom. Its crystal system is cubic. The calculation puts the total magnetization at 0.00 Bohr magnetons per cell. The value obtained for the raw formation energy is -1.195 eV per atom. The volume is 27.1 Å³/atom. The space group is No. 225.

```
TmSc6Te8
1.0
0.000 5.881 5.881
5.881 0.000 5.881
5.881 5.881 0.000
Tm Sc Te
1 6 8
Direct
0.000 0.000 0.000
0.000 0.000 0.500
0.000 0.500 0.000
0.000 0.500 0.500
0.500 0.000 0.000
0.500 0.000 0.500
0.500 0.500 0.000
0.250 0.250 0.250
0.259 0.259 0.741
0.259 0.741 0.259
0.259 0.741 0.741
0.741 0.259 0.259
0.741 0.259 0.741
0.741 0.741 0.259
0.750 0.750 0.750
```

***

Entry 5:
This record from Alexandria describes a geometry-optimized LiAlIr4 structure. The functional is GGA-PBE.

Results
As for the final energy: -6.81 eV/atom. Its crystal system is cubic. The formation energy is 0.0420 eV per atom. The calculation puts the total magnetization at 0.00 Bohr magnetons per cell. The volume is 16.1 Å³/atom. The space group is No. 216.

```
LiAlIr4
1.0
0.000 3.644 3.644
3.644 0.000 3.644
3.644 3.644 0.000
Li Al Ir
1 1 4
Direct
0.000 0.000 0.000
0.750 0.750 0.750
0.375 0.375 0.375
0.375 0.375 0.875
0.375 0.875 0.375
0.875 0.375 0.375
```

***

Entry 6:
This record from Alexandria describes a geometry-optimized Ca2Ac2CuPt4 structure. The functional is GGA-PBE.

Results
As for the final energy: -5.23 eV/atom. Its crystal system is tetragonal. The formation energy is -0.7292 eV per atom. The calculation puts the total magnetization at 0.00 Bohr magnetons per cell. The volume is 23.6 Å³/atom. The space group is No. 139.

```
Ca2Ac2CuPt4
1.0
-3.594 3.594 4.117
3.594 -3.594 4.117
3.594 3.594 -4.117
Ca Ac Cu Pt
2 2 1 4
Direct
0.188 0.188 0.000
0.812 0.812 0.000
0.250 0.750 0.500
0.750 0.250 0.500
0.500 0.500 0.000
0.251 0.251 0.502
0.251 0.749 0.000
0.749 0.251 0.000
0.749 0.749 0.498
```

***

Entry 7:
This record from Alexandria describes a geometry-optimized ScPbBr2 structure. The functional is GGA-PBE.

Results
As for the final energy: -4.07 eV/atom. Its crystal system is orthorhombic. The calculation puts the total magnetization at 0.49 Bohr magnetons per cell. For the energy above the most stable polymorph in this dataset, the calculation gives 1.02 eV per formula unit. The value obtained for the raw formation energy is -0.727 eV per atom. The volume is 32.5 Å³/atom. The space group is No. 44.

```
ScPbBr2
1.0
3.413 0.000 0.000
0.000 4.851 0.000
0.000 0.000 15.708
Sc Pb Br
2 2 4
Direct
0.000 0.000 0.000
0.500 0.500 0.500
0.000 0.500 0.319
0.500 0.000 0.819
0.000 0.000 0.458
0.000 0.500 0.631
0.500 0.000 0.131
0.500 0.500 0.958
```

***

Entry 8:
This record from Alexandria describes a geometry-optimized HPb structure. The functional is GGA-PBE.

Results
As for the final energy: -3.07 eV/atom. Its crystal system is hexagonal. The calculation puts the total magnetization at 0.00 Bohr magnetons per cell. For the energy above the most stable polymorph in this dataset, the calculation gives 0.21 eV per formula unit. The volume is 19.4 Å³/atom. The space group is No. 186.

```
HPb
1.0
3.423 0.000 0.000
-1.712 2.964 0.000
0.000 0.000 7.644
H Pb
2 2
Direct
0.333 0.667 0.000
0.667 0.333 0.500
0.333 0.667 0.262
0.667 0.333 0.762
```

***

Entry 9:
This record from Alexandria describes a geometry-optimized Hf2NbPt2 structure. The functional is GGA-PBE.

Results
As for the final energy: -9.14 eV/atom. Its crystal system is tetragonal. The formation energy is -0.7309 eV per atom. The calculation puts the total magnetization at 0.10 Bohr magnetons per cell. For the energy above the most stable polymorph in this dataset, the calculation gives 0.00 eV per formula unit. The volume is 19.0 Å³/atom. The space group is No. 127.

```
Hf2NbPt2
1.0
7.579 0.000 0.000
0.000 7.579 0.000
0.000 0.000 3.300
Hf Nb Pt
4 2 4
Direct
0.168 0.332 0.000
0.332 0.832 0.000
0.668 0.168 0.000
0.832 0.668 0.000
0.000 0.000 0.500
0.500 0.500 0.500
0.131 0.631 0.500
0.369 0.131 0.500
0.631 0.869 0.500
0.869 0.369 0.500
```

***

Entry 10:
This record from Alexandria describes a geometry-optimized VCdFe2Tc structure. The functional is GGA-PBE.

Results
As for the final energy: -6.32 eV/atom. Its crystal system is tetragonal. The formation energy is 1.1414 eV per atom. The calculation puts the total magnetization at 4.94 Bohr magnetons per cell. The volume is 18.7 Å³/atom. The space group is No. 123.

```
VCdFe2Tc
1.0
4.575 0.000 0.000
0.000 4.575 0.000
0.000 0.000 4.461
V Cd Fe Tc
1 1 2 1
Direct
0.000 0.000 0.000
0.500 0.500 0.000
0.000 0.500 0.500
0.500 0.000 0.500
0.000 0.000 0.500
```